[1]
LaHg2W | PBE | relaxed

It has space group P4/mmm (No. 123), with a = 3.0662 Å, b = 3.0662 Å, c = 9.2810 Å, α = 90.00°, β = 90.00° and γ = 90.00°. The inequivalent atoms are La at (0.0000, 0.0000, 0.0000), Hg at (0.5000, 0.5000, 0.2769) and W at (0.0000, 0.0000, 0.5000).

The value obtained for the total energy is -16.7 eV for the cell shown. The value obtained for the density of states at the Fermi level is 2.93 states/eV per cell. The excess energy over the best structure of this formula in the dataset is 4 kJ/mol of formula units.

---

[2]
LaHg2W | PBE | relaxed

It has space group P2/m (No. 10), with a = 3.1093 Å, b = 4.2687 Å, c = 6.8361 Å, α = 90.00°, β = 90.14° and γ = 90.00°. The inequivalent atoms are La at (0.0000, 0.0000, 0.0000), Hg at (0.4988, 0.5000, 0.7098) and W at (0.0000, 0.0000, 0.5000).

The value obtained for the total energy is -16.8 eV for the cell shown. The value obtained for the density of states at the Fermi level is 3.70 states/eV per cell. The excess energy over the best structure of this formula in the dataset is 0 kJ/mol of formula units.

---

[3]
LaY2Hg | PBE | relaxed

It has space group R-3m (No. 166, hexagonal axes), with a = 3.6938 Å, b = 3.6938 Å, c = 31.9755 Å, α = 90.00°, β = 90.00° and γ = 120.00°. The inequivalent atoms are La at (0.0000, 0.0000, 0.0000), Y at (0.0000, 0.0000, 0.2398) and Hg at (0.0000, 0.0000, 0.5000).

The value obtained for the total energy is -56.6 eV for the cell shown. The value obtained for the density of states at the Fermi level is 15.62 states/eV per cell.

---

[4]
LaYHg6 | PBE | relaxed

It has space group Amm2 (No. 38), with a = 5.0605 Å, b = 6.8420 Å, c = 11.7214 Å, α = 90.00°, β = 90.00° and γ = 90.00°. The inequivalent atoms are La at (0.0000, 0.0000, 0.0000), Y at (0.5000, 0.0000, 0.6784), Hg at (0.0000, 0.0000, 0.5107), Hg at (0.0000, 0.2451, 0.2533), Hg at (0.5000, 0.0000, 0.1745) and Hg at (0.5000, 0.2352, 0.4205).

The value obtained for the total energy is -32.6 eV for the cell shown. The value obtained for the density of states at the Fermi level is 12.60 states/eV per cell.

---

Which V belongs to each record? In order, 87.3; 90.7; 377.8; 405.8 Å³/cell.